An optimized crystal structure of Mn2TcRu. Source: the Alexandria database, functional PBEsol.

Unit cell a=4.151 b=4.151 c=4.151 alpha=60.00 beta=60.00 gamma=60.00
Last column: magnetic moment on the atom in μB.
Sites, in units of the cell vectors:
Tc  0.250  0.250  0.250  -0.12
Mn  0.750  0.750  0.750  2.76
Mn  0.000  0.000  0.000  1.01
Ru  0.500  0.500  0.500  0.24

Properties
spin magnetization	3.98	μB/f.u.
mass density	10.1	g/cm³
crystal system	cubic
calculated volume	51	Å³/cell
formation enthalpy at 0 K	0.268	eV per atom